No. 1
Entry from Alexandria: a relaxed structure of Zn3In12F5 (PBE-GGA).

Values from the calculation:
* density of states at the Fermi level: 9.008 states/eV/f.u.
* formation energy (no corrections): -12.0 eV/f.u.

abc: 15.828 15.828 15.828
angles: 90.00 90.00 90.00
Space group Ia-3d (No. 230)
Symmetry-distinct sites (fractional):
Zn (0.000, 0.250, 0.125)
In (0.031, 0.068, 0.649)
F (0.000, 0.000, 0.000)
F (0.000, 0.250, 0.375)

No. 2
Entry from Alexandria: a relaxed structure of Zn2InF8 (PBE-GGA).

Values from the calculation:
* density of states at the Fermi level: 4.863 states/eV/f.u.
* formation energy (no corrections): -23.0 eV/f.u.

abc: 3.290 5.413 9.598
angles: 96.45 92.59 106.01
Space group P-1 (No. 2)
Symmetry-distinct sites (fractional):
Zn (0.220, 0.025, 0.152)
In (0.500, 0.500, 0.500)
F (0.103, 0.737, 0.461)
F (0.127, 0.803, 0.966)
F (0.362, 0.129, 0.779)
F (0.401, 0.333, 0.287)

No. 3
Entry from Alexandria: a relaxed structure of Zn2In4F (PBE-GGA).

Values from the calculation:
* density of states at the Fermi level: 2.920 states/eV/f.u.
* formation energy (no corrections): -1.6 eV/f.u.

abc: 4.969 4.969 13.908
angles: 90.00 90.00 90.00
Space group I4/mmm (No. 139)
Symmetry-distinct sites (fractional):
Zn (0.000, 0.000, 0.105)
In (0.000, 0.000, 0.306)
In (0.000, 0.500, 0.000)
F (0.000, 0.000, 0.500)

What is the formation energy (no corrections) in the third record? -1.6 eV/f.u.

Repeat the third record exactly.
Entry from Alexandria: a relaxed structure of Zn2In4F (PBE-GGA).

Values from the calculation:
* density of states at the Fermi level: 2.920 states/eV/f.u.
* formation energy (no corrections): -1.6 eV/f.u.

abc: 4.969 4.969 13.908
angles: 90.00 90.00 90.00
Space group I4/mmm (No. 139)
Symmetry-distinct sites (fractional):
Zn (0.000, 0.000, 0.105)
In (0.000, 0.000, 0.306)
In (0.000, 0.500, 0.000)
F (0.000, 0.000, 0.500)